# MgTi2Mo | Alexandria | PBE-GGA | relaxed
data_MgTi2Mo
_chemical_formula_sum 'Mg1 Ti2 Mo1'
_space_group_name_H-M_alt 'P 4/m m m'
_space_group_IT_number 123
_space_group_name_Hall '-P 4 2'
_cell_length_a 3.2497
_cell_length_b 3.2497
_cell_length_c 6.7443
_cell_angle_alpha 90.00
_cell_angle_beta 90.00
_cell_angle_gamma 90.00
loop_
_atom_site_label
_atom_site_fract_x
_atom_site_fract_y
_atom_site_fract_z
_atom_site_occupancy
Mg1 0.0000 0.0000 0.0000 1
Ti1 0.5000 0.5000 0.2896 1
Mo1 0.0000 0.0000 0.5000 1
# * ΔE_f: -0.032 eV per atom
# * crystal system: tetragonal

=====

# YScTc2 | Alexandria | PBE-GGA | relaxed
data_YScTc2
_chemical_formula_sum 'Y3 Sc3 Tc6'
_space_group_name_H-M_alt 'R 3 m'
_space_group_IT_number 160
_space_group_name_Hall 'R 3 -2"'
_cell_length_a 3.1362
_cell_length_b 3.1362
_cell_length_c 28.4729
_cell_angle_alpha 90.00
_cell_angle_beta 90.00
_cell_angle_gamma 120.00
loop_
_atom_site_label
_atom_site_fract_x
_atom_site_fract_y
_atom_site_fract_z
_atom_site_occupancy
Y1 0.0000 0.0000 0.0000 1
Sc1 0.0000 0.0000 0.2246 1
Tc1 0.0000 0.0000 0.4818 1
Tc2 0.0000 0.0000 0.7516 1
# * E above lowest polymorph: 352.8 meV/atom
# * ΔE_f: 0.302 eV per atom
# * crystal system: trigonal

=====

# TlNi2Se | Alexandria | PBE-GGA | relaxed
data_TlNi2Se
_chemical_formula_sum 'Tl3 Ni6 Se3'
_space_group_name_H-M_alt 'R 3 m'
_space_group_IT_number 160
_space_group_name_Hall 'R 3 -2"'
_cell_length_a 3.9082
_cell_length_b 3.9082
_cell_length_c 18.3285
_cell_angle_alpha 90.00
_cell_angle_beta 90.00
_cell_angle_gamma 120.00
loop_
_atom_site_label
_atom_site_fract_x
_atom_site_fract_y
_atom_site_fract_z
_atom_site_occupancy
Tl1 0.0000 0.0000 0.0000 1
Ni1 0.0000 0.0000 0.4752 1
Ni2 0.0000 0.0000 0.7665 1
Se1 0.0000 0.0000 0.1751 1
# * E above lowest polymorph: 27.1 meV/atom
# * formation energy from raw total energies: 0.048 eV per atom
# * crystal system: trigonal

=====

# BeGaC3 | Alexandria | PBE-GGA | relaxed
data_BeGaC3
_chemical_formula_sum 'Be1 Ga1 C3'
_space_group_name_H-M_alt 'P m -3 m'
_space_group_IT_number 221
_space_group_name_Hall '-P 4 2 3'
_cell_length_a 3.9479
_cell_length_b 3.9479
_cell_length_c 3.9479
_cell_angle_alpha 90.00
_cell_angle_beta 90.00
_cell_angle_gamma 90.00
loop_
_atom_site_label
_atom_site_fract_x
_atom_site_fract_y
_atom_site_fract_z
_atom_site_occupancy
Be1 0.0000 0.0000 0.0000 1
Ga1 0.5000 0.5000 0.5000 1
C1 0.0000 0.5000 0.5000 1
# * E above lowest polymorph: 675.7 meV/atom
# * ΔE_f: 2.970 eV per atom
# * crystal system: cubic

=====

# LaTi2InBi | Alexandria | PBE-GGA | relaxed
data_LaTi2InBi
_chemical_formula_sum 'La1 Ti2 In1 Bi1'
_space_group_name_H-M_alt 'P 4/m m m'
_space_group_IT_number 123
_space_group_name_Hall '-P 4 2'
_cell_length_a 5.1742
_cell_length_b 5.1742
_cell_length_c 5.8515
_cell_angle_alpha 90.00
_cell_angle_beta 90.00
_cell_angle_gamma 90.00
loop_
_atom_site_label
_atom_site_fract_x
_atom_site_fract_y
_atom_site_fract_z
_atom_site_occupancy
La1 0.0000 0.0000 0.0000 1
Ti1 0.0000 0.5000 0.5000 1
In1 0.5000 0.5000 0.5000 1
Bi1 0.5000 0.5000 0.0000 1
# * ΔE_f: 0.647 eV per atom
# * crystal system: tetragonal

=====

# LiDySc4O8 | Alexandria | PBE-GGA | relaxed
data_LiDySc4O8
_chemical_formula_sum 'Li3 Dy3 Sc12 O24'
_space_group_name_H-M_alt 'R 3 m'
_space_group_IT_number 160
_space_group_name_Hall 'R 3 -2"'
_cell_length_a 6.3694
_cell_length_b 6.3694
_cell_length_c 15.3388
_cell_angle_alpha 90.00
_cell_angle_beta 90.00
_cell_angle_gamma 120.00
loop_
_atom_site_label
_atom_site_fract_x
_atom_site_fract_y
_atom_site_fract_z
_atom_site_occupancy
Li1 0.0000 0.0000 0.0000 1
Dy1 0.0000 0.0000 0.3759 1
Sc1 0.0000 0.0000 0.6159 1
Sc2 0.1677 0.3354 0.8282 1
O1 0.0000 0.0000 0.2342 1
O2 0.0000 0.0000 0.7518 1
O3 0.0333 0.5167 0.7531 1
O4 0.1703 0.3406 0.5692 1
# * formation energy from raw total energies: -3.310 eV per atom
# * crystal system: trigonal

=====

# Li2AcPr | Alexandria | PBE-GGA | relaxed
data_Li2AcPr
_chemical_formula_sum 'Li2 Ac1 Pr1'
_space_group_name_H-M_alt 'P 4/m m m'
_space_group_IT_number 123
_space_group_name_Hall '-P 4 2'
_cell_length_a 3.9747
_cell_length_b 3.9747
_cell_length_c 7.7652
_cell_angle_alpha 90.00
_cell_angle_beta 90.00
_cell_angle_gamma 90.00
loop_
_atom_site_label
_atom_site_fract_x
_atom_site_fract_y
_atom_site_fract_z
_atom_site_occupancy
Li1 0.0000 0.0000 0.2361 1
Ac1 0.5000 0.5000 0.5000 1
Pr1 0.5000 0.5000 0.0000 1
# * E above lowest polymorph: 0.0 meV/atom
# * ΔE_f: 0.129 eV per atom
# * crystal system: tetragonal

=====

# ScCuMo2 | Alexandria | PBE-GGA | relaxed
data_ScCuMo2
_chemical_formula_sum 'Sc4 Cu4 Mo8'
_space_group_name_H-M_alt 'F m -3 m'
_space_group_IT_number 225
_space_group_name_Hall '-F 4 2 3'
_cell_length_a 6.3349
_cell_length_b 6.3349
_cell_length_c 6.3349
_cell_angle_alpha 90.00
_cell_angle_beta 90.00
_cell_angle_gamma 90.00
loop_
_atom_site_label
_atom_site_fract_x
_atom_site_fract_y
_atom_site_fract_z
_atom_site_occupancy
Sc1 0.0000 0.0000 0.0000 1
Cu1 0.0000 0.0000 0.5000 1
Mo1 0.2500 0.2500 0.2500 1
# * E above lowest polymorph: 510.9 meV/atom
# * ΔE_f: 0.551 eV per atom
# * crystal system: cubic

=====

# CdHgBi2Pb4 | Alexandria | PBE-GGA | relaxed
data_CdHgBi2Pb4
_chemical_formula_sum 'Cd1 Hg1 Bi2 Pb4'
_space_group_name_H-M_alt 'P 1 2/m 1'
_space_group_IT_number 10
_cell_length_a 5.5266
_cell_length_b 4.8035
_cell_length_c 9.1577
_cell_angle_alpha 90.00
_cell_angle_beta 90.01
_cell_angle_gamma 90.00
loop_
_space_group_symop_operation_xyz
'x,y,z'
'-x,-y,-z'
'-x,y,-z'
'x,-y,z'
loop_
_atom_site_label
_atom_site_fract_x
_atom_site_fract_y
_atom_site_fract_z
_atom_site_occupancy
Cd1 0.0000 0.0000 0.0000 1
Hg1 0.5000 0.5000 0.5000 1
Bi1 0.0000 0.0000 0.5000 1
Bi2 0.5000 0.5000 0.0000 1
Pb1 0.9996 0.5000 0.2356 1
Pb2 0.4990 0.0000 0.2645 1
# * ΔE_f: 0.025 eV per atom
# * crystal system: monoclinic

=====

# La2Al4Zn3Au | Alexandria | PBE-GGA | relaxed
data_La2Al4Zn3Au
_chemical_formula_sum 'La2 Al4 Zn3 Au1'
_space_group_name_H-M_alt 'P -4 m 2'
_space_group_IT_number 115
_cell_length_a 4.3518
_cell_length_b 4.3518
_cell_length_c 10.7814
_cell_angle_alpha 90.00
_cell_angle_beta 90.00
_cell_angle_gamma 90.00
loop_
_space_group_symop_operation_xyz
'x,y,z'
'y,-x,-z'
'-x,-y,z'
'-y,x,-z'
'-x,y,z'
'-y,-x,-z'
'x,-y,z'
'y,x,-z'
loop_
_atom_site_label
_atom_site_fract_x
_atom_site_fract_y
_atom_site_fract_z
_atom_site_occupancy
La1 0.0000 0.5000 0.2491 1
Al1 0.0000 0.0000 0.0000 1
Al2 0.0000 0.5000 0.6307 1
Al3 0.5000 0.5000 0.0000 1
Zn1 0.0000 0.5000 0.8648 1
Zn2 0.5000 0.5000 0.5000 1
Au1 0.0000 0.0000 0.5000 1
# * ΔE_f: -0.508 eV per atom
# * crystal system: tetragonal

=====

# Tb3CeSe4 | Alexandria | PBE-GGA | relaxed
data_Tb3CeSe4
_chemical_formula_sum 'Tb6 Ce2 Se8'
_space_group_name_H-M_alt 'P 1 2/c 1'
_space_group_IT_number 13
_cell_length_a 7.1729
_cell_length_b 8.1969
_cell_length_c 7.1392
_cell_angle_alpha 90.00
_cell_angle_beta 109.27
_cell_angle_gamma 90.00
loop_
_space_group_symop_operation_xyz
'x,y,z'
'-x,-y,-z'
'-x,y,-z+1/2'
'x,-y,z+1/2'
loop_
_atom_site_label
_atom_site_fract_x
_atom_site_fract_y
_atom_site_fract_z
_atom_site_occupancy
Tb1 0.0000 0.1244 0.2500 1
Tb2 0.0000 0.3742 0.7500 1
Tb3 0.5000 0.3719 0.2500 1
Ce1 0.5000 0.1231 0.7500 1
Se1 0.2428 0.1283 0.9995 1
Se2 0.2479 0.3786 0.4973 1
# * E above lowest polymorph: 0.0 meV/atom
# * formation energy from raw total energies: -1.791 eV per atom
# * crystal system: monoclinic

=====

# Tb6Nd3In | Alexandria | PBE-GGA | relaxed
data_Tb6Nd3In
_chemical_formula_sum 'Tb12 Nd6 In2'
_space_group_name_H-M_alt 'P 1 21/m 1'
_space_group_IT_number 11
_cell_length_a 13.0330
_cell_length_b 3.5776
_cell_length_c 14.6379
_cell_angle_alpha 90.00
_cell_angle_beta 108.70
_cell_angle_gamma 90.00
loop_
_space_group_symop_operation_xyz
'x,y,z'
'-x,-y,-z'
'-x,y+1/2,-z'
'x,-y+1/2,z'
loop_
_atom_site_label
_atom_site_fract_x
_atom_site_fract_y
_atom_site_fract_z
_atom_site_occupancy
Tb1 0.1156 0.2500 0.2104 1
Tb2 0.1671 0.7500 0.7827 1
Tb3 0.2511 0.2500 0.6110 1
Tb4 0.2826 0.7500 0.4010 1
Tb5 0.3584 0.7500 0.1896 1
Tb6 0.3656 0.2500 0.9765 1
Nd1 0.0342 0.7500 0.4084 1
Nd2 0.1229 0.7500 0.0007 1
Nd3 0.4905 0.7500 0.6041 1
In1 0.4223 0.7500 0.8059 1
# * ΔE_f: -0.030 eV per atom
# * crystal system: monoclinic